No. 1
NbMoN2O: relaxed, PBE+U.

The structure in extended XYZ format:
```
5
Lattice="3.9708 0.0000 0.0000 0.0000 3.9708 0.0000 0.0000 0.0000 3.8389" Properties=species:S:1:pos:R:3 pbc="T T T"
Nb 0.0000 0.0000 0.0000
Mo 1.9854 1.9854 1.9195
N 0.0000 1.9854 1.9195
N 1.9854 0.0000 1.9195
O 1.9854 1.9854 0.0000
```

Properties
Total magnetization, μB per cell: 1.8
Raw total energy, eV per atom: -7.50
Theoretical density, g cm⁻³: 6.39

=====

No. 2
NbMoN2O: relaxed, PBE+U.

The structure in extended XYZ format:
```
5
Lattice="4.1328 0.0000 0.0000 0.0000 4.1328 0.0000 0.0000 0.0000 3.9002" Properties=species:S:1:pos:R:3 pbc="T T T"
Nb 0.0000 0.0000 0.0000
Mo 2.0664 2.0664 1.9501
N 0.0000 2.0664 0.0000
N 2.0664 0.0000 0.0000
O 0.0000 0.0000 1.9501
```

Properties
Total magnetization, μB per cell: 3.0
Raw total energy, eV per atom: -7.87
Theoretical density, g cm⁻³: 5.80

=====

Look up the total magnetization of the first one.
1.8 μB per cell